The following is a PBE calculation of a relaxed Ta2MoW crystal, from Alexandria.

```
Ta2MoW
1.0
-1.617 2.321 4.517
1.617 -2.321 4.517
1.617 2.321 -4.517
Ta Mo W
2 1 1
Cartesian
0.000 0.000 2.243
0.000 0.000 6.790
1.617 0.000 0.000
0.000 2.321 0.000
```

The calculation puts the density of states at the Fermi level at 0.7762 states/eV/atom. As for the calculated density: 15.71 Mg/m³. Its formation enthalpy at 0 K is -92 meV per atom. Its total energy is -47.856 eV/f.u. Its symmetry is Immm. As for the crystal system: orthorhombic.



The following is a PBE calculation of a relaxed Zr4CoCl crystal, from Alexandria.

```
Zr4CoCl
1.0
0.000 4.053 4.053
4.053 0.000 4.053
4.053 4.053 0.000
Zr Co Cl
4 1 1
Cartesian
3.062 3.062 3.062
5.044 5.044 3.062
5.044 3.062 5.044
3.062 5.044 5.044
6.079 6.079 6.079
0.000 0.000 0.000
```

The calculation puts the density of states at the Fermi level at 1.6410 states/eV/atom. As for the calculated density: 5.73 Mg/m³. The calculation puts the formation energy from raw total energies at 743.9 meV/atom. Its total energy is -38.682 eV/f.u. Its symmetry is F-43m. As for the crystal system: cubic.



The following is a PBE calculation of a relaxed La8PrHo5 crystal, from Alexandria.

```
La8PrHo5
1.0
8.673 0.000 0.000
-3.950 7.767 0.000
-1.310 -4.481 7.395
La Pr Ho
8 1 5
Cartesian
0.000 0.000 0.000
-2.527 -0.468 5.995
1.172 -1.678 6.295
3.048 -1.954 3.232
1.554 5.612 0.405
2.860 1.145 5.049
2.750 4.644 3.814
5.894 0.752 2.278
2.807 1.164 1.618
-2.685 3.041 4.694
0.093 -0.279 3.456
-0.111 2.872 2.089
4.118 -3.486 6.240
5.118 4.149 1.229
```

The calculation puts the density of states at the Fermi level at 1.4224 states/eV/atom. As for the calculated density: 6.92 Mg/m³. Its formation enthalpy at 0 K is 153 meV per atom. Its total energy is -64.953 eV/f.u. Its symmetry is P1. As for the crystal system: triclinic.



The following is a PBE calculation of a relaxed Ho3TmCu2 crystal, from Alexandria.

```
Ho3TmCu2
1.0
-3.366 6.669 3.553
3.366 -6.669 3.553
3.366 6.669 -3.553
Ho Tm Cu
6 2 4
Cartesian
3.366 -3.111 1.777
0.000 0.000 1.777
3.366 3.111 1.777
0.000 3.557 1.777
0.000 0.000 5.330
0.000 9.780 1.777
3.366 0.000 0.000
0.000 6.669 0.000
1.404 1.878 0.000
1.404 -1.878 3.553
1.962 8.547 0.000
1.962 4.790 3.553
```

The calculation puts the density of states at the Fermi level at 1.1581 states/eV/atom. For the relative energy among the computed polymorphs, the calculation gives 1.097 eV/f.u. As for the calculated density: 8.23 Mg/m³. Its formation enthalpy at 0 K is 6 meV per atom. Its total energy is -26.361 eV/f.u. Its symmetry is Ibam. As for the crystal system: orthorhombic.



The following is a PBE calculation of a relaxed Pm4CoSe3 crystal, from Alexandria.

```
Pm4CoSe3
1.0
7.406 0.000 0.000
0.000 8.393 0.000
-2.339 0.000 6.682
Pm Co Se
8 2 6
Cartesian
1.665 0.975 0.040
0.496 7.418 3.381
0.616 2.962 3.219
-0.553 5.431 6.560
5.621 2.962 0.122
4.451 5.431 3.463
4.572 0.975 3.301
3.403 7.418 6.642
-0.585 1.020 1.670
-1.754 7.373 5.011
-1.754 3.195 5.011
-0.585 5.198 1.670
1.949 1.048 5.011
3.118 3.221 1.670
1.949 5.172 5.011
3.118 7.345 1.670
```

The calculation puts the density of states at the Fermi level at 0.6928 states/eV/atom. As for the calculated density: 7.00 Mg/m³. The calculation puts the formation energy from raw total energies at -1375.4 meV/atom. Its total energy is -47.565 eV/f.u. Its symmetry is P2/c. As for the crystal system: monoclinic.



The following is a PBE calculation of a relaxed LaPdSe crystal, from Alexandria.

```
LaPdSe
1.0
2.403 1.388 8.016
-2.403 1.388 8.016
0.000 -2.775 8.016
La Pd Se
2 2 2
Cartesian
0.000 0.000 1.978
0.000 0.000 22.070
0.000 0.000 7.860
0.000 0.000 16.187
0.000 0.000 5.152
0.000 0.000 18.896
```

The calculation puts the density of states at the Fermi level at 0.6050 states/eV/atom. As for the calculated density: 6.71 Mg/m³. The calculation puts the formation energy from raw total energies at -1197.1 meV/atom. Its total energy is -17.196 eV/f.u. Its symmetry is R-3m. As for the crystal system: trigonal.



Question: The lowest calculated density belongs to which entry?
Answer: Zr4CoCl